A plane-wave DFT calculation with PBE was carried out for crystalline SrLaTe at its relaxed geometry.

It has space group R-3m (No. 166, hexagonal axes), with a = 5.4502 Å, b = 5.4502 Å, c = 26.2917 Å, α = 90.00°, β = 90.00° and γ = 120.00°. The distinct sites, in fractional coordinates, are Sr at (0.0000, 0.0000, 0.1234), La at (0.0000, 0.0000, 0.3739) and Te at (0.0000, 0.0000, 0.2520).

The offset from the most stable computed form is 131 meV per atom. For the uncorrected formation energy, the calculation gives -0.7763 eV/atom.



A plane-wave DFT calculation with PBE was carried out for crystalline Si4AgIr at its relaxed geometry.

It has space group F-43m (No. 216), with a = 7.147 Å, b = 7.147 Å, c = 7.147 Å, α = 90.00°, β = 90.00° and γ = 90.00°. The distinct sites, in fractional coordinates, are Si at (0.124, 0.124, 0.376), Ag at (0.000, 0.000, 0.000) and Ir at (0.250, 0.250, 0.750).

For the uncorrected formation energy, the calculation gives 0.5556 eV/atom.



A plane-wave DFT calculation with PBE was carried out for crystalline PmYTh2 at its relaxed geometry.

It has space group R-3m (No. 166, hexagonal axes), with a = 3.5954 Å, b = 3.5954 Å, c = 34.9005 Å, α = 90.00°, β = 90.00° and γ = 120.00°. The distinct sites, in fractional coordinates, are Pm at (0.0000, 0.0000, 0.0000), Y at (0.0000, 0.0000, 0.5000) and Th at (0.0000, 0.0000, 0.2496).

The offset from the most stable computed form is 16 meV per atom. The formation energy is 0.044 eV per atom.



A plane-wave DFT calculation with PBE was carried out for crystalline Pr2SmTl3 at its relaxed geometry.

It has space group Cmcm (No. 63), with a = 3.808 Å, b = 29.537 Å, c = 6.839 Å, α = 90.00°, β = 90.00° and γ = 90.00°. The distinct sites, in fractional coordinates, are Pr at (0.000, 0.006, 0.250), Pr at (0.000, 0.153, 0.750), Sm at (0.000, 0.332, 0.750), Tl at (0.000, 0.255, 0.250) and Tl at (0.000, 0.423, 0.012).

The offset from the most stable computed form is 146 meV per atom. The formation energy is -0.246 eV per atom.



A plane-wave DFT calculation with PBE was carried out for crystalline VP3H at its relaxed geometry.

It has space group Pm-3m (No. 221), with a = 4.450 Å, b = 4.450 Å, c = 4.450 Å, α = 90.00°, β = 90.00° and γ = 90.00°. The distinct sites, in fractional coordinates, are V at (0.000, 0.000, 0.000), P at (0.000, 0.000, 0.500) and H at (0.500, 0.500, 0.500).

The offset from the most stable computed form is 83 meV per atom.



A plane-wave DFT calculation with PBE was carried out for crystalline Pm2Y2Hg at its relaxed geometry.

It has space group I4/mmm (No. 139), with a = 3.631 Å, b = 3.631 Å, c = 23.245 Å, α = 90.00°, β = 90.00° and γ = 90.00°. The distinct sites, in fractional coordinates, are Pm at (0.000, 0.000, 0.195), Y at (0.000, 0.000, 0.415) and Hg at (0.000, 0.000, 0.000).

The offset from the most stable computed form is 0 meV per atom. The formation energy is -0.191 eV per atom.



A plane-wave DFT calculation with PBE was carried out for crystalline KReAg3 at its relaxed geometry.

It has space group Pm-3m (No. 221), with a = 5.260 Å, b = 5.260 Å, c = 5.260 Å, α = 90.00°, β = 90.00° and γ = 90.00°. The distinct sites, in fractional coordinates, are K at (0.000, 0.000, 0.000), Re at (0.500, 0.500, 0.500) and Ag at (0.000, 0.500, 0.500).

The offset from the most stable computed form is 0 meV per atom. The formation energy is 1.120 eV per atom.



A plane-wave DFT calculation with PBE was carried out for crystalline Th2InCu3Ni12 at its relaxed geometry.

It has space group R-3m (No. 166, hexagonal axes), with a = 6.2930 Å, b = 6.2930 Å, c = 24.2902 Å, α = 90.00°, β = 90.00° and γ = 120.00°. The distinct sites, in fractional coordinates, are Th at (0.0000, 0.0000, 0.1368), In at (0.0000, 0.0000, 0.5000), Cu at (0.0000, 0.5000, 0.0000), Ni at (0.0673, 0.5336, 0.8978) and Ni at (0.0807, 0.5404, 0.6228).

The formation energy is 0.135 eV per atom.



A plane-wave DFT calculation with PBE was carried out for crystalline Li6AgPt2 at its relaxed geometry.

It has space group P6/mmm (No. 191), with a = 7.4323 Å, b = 7.4323 Å, c = 2.7043 Å, α = 90.00°, β = 90.00° and γ = 120.00°. The distinct sites, in fractional coordinates, are Li at (0.0000, 0.3417, 0.0000), Ag at (0.0000, 0.0000, 0.5000) and Pt at (0.3333, 0.6667, 0.5000).

The offset from the most stable computed form is 0 meV per atom. The formation energy is -0.413 eV per atom.



A plane-wave DFT calculation with PBE was carried out for crystalline AgHg2As at its relaxed geometry.

It has space group Pmmm (No. 47), with a = 2.887 Å, b = 5.365 Å, c = 5.685 Å, α = 90.00°, β = 90.00° and γ = 90.00°. The distinct sites, in fractional coordinates, are Ag at (0.000, 0.000, 0.000), Hg at (0.000, 0.500, 0.500), Hg at (0.500, 0.500, 0.000) and As at (0.500, 0.000, 0.500).

The formation energy is 0.234 eV per atom.



A plane-wave DFT calculation with PBE was carried out for crystalline Dy8HoSn6 at its relaxed geometry.

It has space group R-3 (No. 148, hexagonal axes), with a = 9.0209 Å, b = 9.0209 Å, c = 19.4475 Å, α = 90.00°, β = 90.00° and γ = 120.00°. The distinct sites, in fractional coordinates, are Dy at (0.0000, 0.0000, 0.1666), Dy at (0.9998, 0.3331, 0.2726), Ho at (0.0000, 0.0000, 0.5000) and Sn at (0.0000, 0.3328, 0.4328).

The formation energy is -0.536 eV per atom.



A plane-wave DFT calculation with PBE was carried out for crystalline Sr3CaRh at its relaxed geometry.

It has space group P4mm (No. 99), with a = 4.750 Å, b = 4.750 Å, c = 10.447 Å, α = 90.00°, β = 90.00° and γ = 90.00°. The distinct sites, in fractional coordinates, are Sr at (0.000, 0.000, 0.000), Sr at (0.000, 0.500, 0.661), Ca at (0.000, 0.000, 0.387) and Rh at (0.500, 0.500, 0.482).

The offset from the most stable computed form is 483 meV per atom. The formation energy is 0.283 eV per atom.



A plane-wave DFT calculation with PBE was carried out for crystalline La3ZnCu3 at its relaxed geometry.

It has space group Cmcm (No. 63), with a = 4.364 Å, b = 10.651 Å, c = 13.869 Å, α = 90.00°, β = 90.00° and γ = 90.00°. The distinct sites, in fractional coordinates, are La at (0.000, 0.005, 0.250), La at (0.000, 0.288, 0.102), Zn at (0.000, 0.000, 0.000), Cu at (0.000, 0.296, 0.750) and Cu at (0.000, 0.427, 0.589).

The formation energy is -0.209 eV per atom.



A plane-wave DFT calculation with PBE was carried out for crystalline Cd2InTe at its relaxed geometry.

It has space group F-43m (No. 216), with a = 7.680 Å, b = 7.680 Å, c = 7.680 Å, α = 90.00°, β = 90.00° and γ = 90.00°. The distinct sites, in fractional coordinates, are Cd at (0.000, 0.000, 0.000), Cd at (0.250, 0.250, 0.250), In at (0.000, 0.000, 0.500) and Te at (0.250, 0.250, 0.750).

The offset from the most stable computed form is 109 meV per atom. For the uncorrected formation energy, the calculation gives 0.0319 eV/atom.



A plane-wave DFT calculation with PBE was carried out for crystalline VZnAu2 at its relaxed geometry.

It has space group P4/mmm (No. 123), with a = 2.903 Å, b = 2.903 Å, c = 7.589 Å, α = 90.00°, β = 90.00° and γ = 90.00°. The distinct sites, in fractional coordinates, are V at (0.000, 0.000, 0.000), Zn at (0.000, 0.000, 0.500) and Au at (0.500, 0.500, 0.248).

The formation energy is -0.063 eV per atom.



A plane-wave DFT calculation with PBE was carried out for crystalline NaIn2SbCl6 at its relaxed geometry.

It has space group P2_1/c (No. 14), with a = 7.272 Å, b = 7.781 Å, c = 12.781 Å, α = 90.00°, β = 124.03° and γ = 90.00°. The distinct sites, in fractional coordinates, are Na at (0.000, 0.000, 0.000), In at (0.227, 0.075, 0.750), Sb at (0.500, 0.000, 0.500), Cl at (0.152, 0.186, 0.454), Cl at (0.269, 0.708, 0.451) and Cl at (0.356, 0.027, 0.256).

For the uncorrected formation energy, the calculation gives -1.0378 eV/atom.



A plane-wave DFT calculation with PBE was carried out for crystalline ScTi2PbO at its relaxed geometry.

It has space group P4/mmm (No. 123), with a = 4.184 Å, b = 4.184 Å, c = 4.664 Å, α = 90.00°, β = 90.00° and γ = 90.00°. The distinct sites, in fractional coordinates, are Sc at (0.000, 0.000, 0.000), Ti at (0.000, 0.500, 0.500), Pb at (0.500, 0.500, 0.000) and O at (0.000, 0.000, 0.500).

For the uncorrected formation energy, the calculation gives -1.0955 eV/atom.



A plane-wave DFT calculation with PBE was carried out for crystalline Pr2U3S8 at its relaxed geometry.

It has space group Cmmm (No. 65), with a = 9.494 Å, b = 13.714 Å, c = 4.741 Å, α = 90.00°, β = 90.00° and γ = 90.00°. The distinct sites, in fractional coordinates, are Pr at (0.000, 0.232, 0.000), U at (0.000, 0.500, 0.000), U at (0.231, 0.000, 0.500), S at (0.000, 0.121, 0.500), S at (0.000, 0.388, 0.500) and S at (0.238, 0.382, 0.000).

The offset from the most stable computed form is 11 meV per atom. For the uncorrected formation energy, the calculation gives -1.5773 eV/atom.



A plane-wave DFT calculation with PBE was carried out for crystalline AlOs at its relaxed geometry.

It has space group Cmcm (No. 63), with a = 2.957 Å, b = 9.227 Å, c = 4.171 Å, α = 90.00°, β = 90.00° and γ = 90.00°. The distinct sites, in fractional coordinates, are Al at (0.000, 0.090, 0.250) and Os at (0.000, 0.360, 0.250).

The formation energy is -0.117 eV per atom.



A plane-wave DFT calculation with PBE was carried out for crystalline Pm6Si2GeBr3 at its relaxed geometry.

It has space group C2/m (No. 12), with a = 19.016 Å, b = 4.260 Å, c = 8.753 Å, α = 90.00°, β = 105.65° and γ = 90.00°. The distinct sites, in fractional coordinates, are Pm at (0.010, 0.000, 0.232), Pm at (0.160, 0.500, 0.109), Pm at (0.176, 0.500, 0.562), Si at (0.167, 0.000, 0.334), Ge at (0.000, 0.500, 0.000), Br at (0.000, 0.500, 0.500) and Br at (0.166, 0.000, 0.834).

For the uncorrected formation energy, the calculation gives -1.1023 eV/atom.



A plane-wave DFT calculation with PBE was carried out for crystalline Pu3Zn8Rh at its relaxed geometry.

It has space group R3m (No. 160, hexagonal axes), with a = 5.3042 Å, b = 5.3042 Å, c = 26.1878 Å, α = 90.00°, β = 90.00° and γ = 120.00°. The distinct sites, in fractional coordinates, are Pu at (0.0000, 0.0000, 0.0000), Pu at (0.0000, 0.0000, 0.1264), Pu at (0.0000, 0.0000, 0.4997), Zn at (0.0000, 0.0000, 0.3120), Zn at (0.0000, 0.0000, 0.8140), Zn at (0.0004, 0.5002, 0.5661), Zn at (0.1704, 0.3407, 0.3929) and Rh at (0.0000, 0.0000, 0.6284).

The formation energy is -0.150 eV per atom.



A plane-wave DFT calculation with PBE was carried out for crystalline ZnSi2Ni at its relaxed geometry.

It has space group Amm2 (No. 38), with a = 3.845 Å, b = 3.460 Å, c = 8.485 Å, α = 90.00°, β = 90.00° and γ = 90.00°. The distinct sites, in fractional coordinates, are Zn at (0.000, 0.000, 0.000), Si at (0.000, 0.000, 0.722), Si at (0.500, 0.000, 0.286) and Ni at (0.500, 0.000, 0.574).

For the uncorrected formation energy, the calculation gives -0.0114 eV/atom.



A plane-wave DFT calculation with PBE was carried out for crystalline CsLi2Ca2Br7 at its relaxed geometry.

It has space group Imm2 (No. 44), with a = 5.747 Å, b = 23.031 Å, c = 5.747 Å, α = 90.00°, β = 90.00° and γ = 90.00°. The distinct sites, in fractional coordinates, are Cs at (0.000, 0.000, 0.000), Li at (0.000, 0.250, 0.501), Ca at (0.000, 0.375, 0.001), Br at (0.000, 0.127, 0.501), Br at (0.000, 0.251, 0.001), Br at (0.000, 0.373, 0.501) and Br at (0.000, 0.500, 0.001).

For the uncorrected formation energy, the calculation gives -1.8215 eV/atom.



A plane-wave DFT calculation with PBE was carried out for crystalline ZnTe2P at its relaxed geometry.

It has space group I-4m2 (No. 119), with a = 3.813 Å, b = 3.813 Å, c = 18.231 Å, α = 90.00°, β = 90.00° and γ = 90.00°. The distinct sites, in fractional coordinates, are Zn at (0.000, 0.000, 0.000), Te at (0.000, 0.000, 0.500), Te at (0.000, 0.500, 0.250) and P at (0.000, 0.500, 0.750).

The offset from the most stable computed form is 256 meV per atom. For the uncorrected formation energy, the calculation gives 0.2854 eV/atom.



We obtain density values of 5217 7505 8899 9027 2731 7242 6264 8813 6927 11013 7913 2859 6932 6852 13247 3253 7401 6738 12677 6025 10604 5304 3433 4405 kg/m³ for the records listed above, in that order.